First-principles (GGA-PBE) data for crystalline Pm2Pr3Y7 at its relaxed geometry, as listed in Alexandria.

Results
Fermi-level density of states, states/eV per atom: 1.72
Calculated formation energy, eV per atom: 0.2353
Spin magnetization, μB/f.u.: 1.382
ρ, g cm⁻³: 5.122
Crystal system: monoclinic

Cell and atoms, written as CIF:
```
data_Pm2Pr3Y7
_cell_length_a 3.681
_cell_length_b 5.691
_cell_length_c 20.743
_cell_angle_alpha 90.00
_cell_angle_beta 95.10
_cell_angle_gamma 90.00
_space_group_name_H-M_alt 'P 1'
_space_group_IT_number 1
loop_
_space_group_symop_operation_xyz
'x,y,z'
loop_
_atom_site_label
_atom_site_fract_x
_atom_site_fract_y
_atom_site_fract_z
Pm1 0.138 0.000 0.274
Pm2 0.862 0.000 0.726
Pr1 0.000 0.000 0.000
Pr2 0.330 0.500 0.660
Pr3 0.670 0.500 0.340
Y1 0.084 0.500 0.168
Y2 0.215 0.000 0.431
Y3 0.432 0.000 0.866
Y4 0.500 0.500 0.000
Y5 0.568 0.000 0.134
Y6 0.785 0.000 0.569
Y7 0.916 0.500 0.832
```


First-principles (GGA-PBE) data for crystalline MgMn3Au at its relaxed geometry, as listed in Alexandria.

Results
Fermi-level density of states, states/eV per atom: 1.30
Calculated formation energy, eV per atom: 0.8547
Spin magnetization, μB/f.u.: 12.937
ρ, g cm⁻³: 5.241
Crystal system: cubic
Polymorph energy (0 for the lowest one), eV/atom: 0.000

Cell and atoms, written as CIF:
```
data_MgMn3Au
_cell_length_a 4.964
_cell_length_b 4.964
_cell_length_c 4.964
_cell_angle_alpha 90.00
_cell_angle_beta 90.00
_cell_angle_gamma 90.00
_space_group_name_H-M_alt 'P 1'
_space_group_IT_number 1
loop_
_space_group_symop_operation_xyz
'x,y,z'
loop_
_atom_site_label
_atom_site_fract_x
_atom_site_fract_y
_atom_site_fract_z
Mg1 0.000 0.000 0.000
Mn1 0.000 0.500 0.500
Mn2 0.500 0.000 0.500
Mn3 0.500 0.500 0.000
Au1 0.500 0.500 0.500
```


First-principles (GGA-PBE) data for crystalline ZnCrRuW at its relaxed geometry, as listed in Alexandria.

Results
Fermi-level density of states, states/eV per atom: 0.66
Calculated formation energy, eV per atom: 0.0811
Spin magnetization, μB/f.u.: 1.989
ρ, g cm⁻³: 11.790
Crystal system: cubic

Cell and atoms, written as CIF:
```
data_ZnCrRuW
_cell_length_a 4.311
_cell_length_b 4.311
_cell_length_c 4.311
_cell_angle_alpha 60.00
_cell_angle_beta 60.00
_cell_angle_gamma 60.00
_space_group_name_H-M_alt 'P 1'
_space_group_IT_number 1
loop_
_space_group_symop_operation_xyz
'x,y,z'
loop_
_atom_site_label
_atom_site_fract_x
_atom_site_fract_y
_atom_site_fract_z
Zn1 0.000 0.000 0.000
Cr1 0.750 0.750 0.750
Ru1 0.250 0.250 0.250
W1 0.500 0.500 0.500
```


First-principles (GGA-PBE) data for crystalline Dy11Zn9Pd4 at its relaxed geometry, as listed in Alexandria.

Results
Fermi-level density of states, states/eV per atom: 0.75
Calculated formation energy, eV per atom: -0.5238
Spin magnetization, μB/f.u.: 0.000
ρ, g cm⁻³: 8.782
Crystal system: orthorhombic

Cell and atoms, written as CIF:
```
data_Dy11Zn9Pd4
_cell_length_a 12.602
_cell_length_b 12.602
_cell_length_c 3.619
_cell_angle_alpha 90.00
_cell_angle_beta 90.00
_cell_angle_gamma 112.84
_space_group_name_H-M_alt 'P 1'
_space_group_IT_number 1
loop_
_space_group_symop_operation_xyz
'x,y,z'
loop_
_atom_site_label
_atom_site_fract_x
_atom_site_fract_y
_atom_site_fract_z
Dy1 0.000 0.000 0.000
Dy2 0.069 0.413 0.000
Dy3 0.170 0.830 0.000
Dy4 0.277 0.277 0.000
Dy5 0.363 0.637 0.000
Dy6 0.413 0.069 0.000
Dy7 0.587 0.931 0.000
Dy8 0.637 0.363 0.000
Dy9 0.723 0.723 0.000
Dy10 0.830 0.170 0.000
Dy11 0.931 0.587 0.000
Zn1 0.056 0.210 0.500
Zn2 0.157 0.632 0.500
Zn3 0.210 0.056 0.500
Zn4 0.368 0.843 0.500
Zn5 0.500 0.500 0.500
Zn6 0.632 0.157 0.500
Zn7 0.790 0.944 0.500
Zn8 0.843 0.368 0.500
Zn9 0.944 0.790 0.500
Pd1 0.255 0.446 0.500
Pd2 0.446 0.255 0.500
Pd3 0.554 0.745 0.500
Pd4 0.745 0.554 0.500
```


First-principles (GGA-PBE) data for crystalline InGaI2 at its relaxed geometry, as listed in Alexandria.

Results
Fermi-level density of states, states/eV per atom: 0.00
Spin magnetization, μB/f.u.: 0.000
ρ, g cm⁻³: 4.583
Crystal system: trigonal
Polymorph energy (0 for the lowest one), eV/atom: 0.016

Cell and atoms, written as CIF:
```
data_InGaI2
_cell_length_a 8.769
_cell_length_b 8.769
_cell_length_c 8.769
_cell_angle_alpha 31.02
_cell_angle_beta 31.02
_cell_angle_gamma 31.02
_space_group_name_H-M_alt 'P 1'
_space_group_IT_number 1
loop_
_space_group_symop_operation_xyz
'x,y,z'
loop_
_atom_site_label
_atom_site_fract_x
_atom_site_fract_y
_atom_site_fract_z
In1 0.000 0.000 0.000
Ga1 0.168 0.168 0.168
I1 0.579 0.579 0.579
I2 0.758 0.758 0.758
```


First-principles (GGA-PBE) data for crystalline Sr2RuSe at its relaxed geometry, as listed in Alexandria.

Results
Fermi-level density of states, states/eV per atom: 0.74
E, eV/atom: -4.085
Spin magnetization, μB/f.u.: 0.973
ρ, g cm⁻³: 5.141
Crystal system: tetragonal

Cell and atoms, written as CIF:
```
data_Sr2RuSe
_cell_length_a 6.718
_cell_length_b 6.718
_cell_length_c 6.718
_cell_angle_alpha 105.41
_cell_angle_beta 105.41
_cell_angle_gamma 117.94
_space_group_name_H-M_alt 'P 1'
_space_group_IT_number 1
loop_
_space_group_symop_operation_xyz
'x,y,z'
loop_
_atom_site_label
_atom_site_fract_x
_atom_site_fract_y
_atom_site_fract_z
Sr1 0.119 0.125 0.494
Sr2 0.375 0.881 0.006
Sr3 0.631 0.625 0.506
Sr4 0.875 0.369 0.994
Ru1 0.000 0.000 0.000
Ru2 0.750 0.250 0.500
Se1 0.250 0.750 0.500
Se2 0.500 0.500 0.000
```


First-principles (GGA-PBE) data for crystalline ScTe3I at its relaxed geometry, as listed in Alexandria.

Results
Fermi-level density of states, states/eV per atom: 1.15
Spin magnetization, μB/f.u.: 0.275
ρ, g cm⁻³: 4.836
Crystal system: cubic
Polymorph energy (0 for the lowest one), eV/atom: 0.800

Cell and atoms, written as CIF:
```
data_ScTe3I
_cell_length_a 5.753
_cell_length_b 5.753
_cell_length_c 5.753
_cell_angle_alpha 90.00
_cell_angle_beta 90.00
_cell_angle_gamma 90.00
_space_group_name_H-M_alt 'P 1'
_space_group_IT_number 1
loop_
_space_group_symop_operation_xyz
'x,y,z'
loop_
_atom_site_label
_atom_site_fract_x
_atom_site_fract_y
_atom_site_fract_z
Sc1 0.000 0.000 0.000
Te1 0.000 0.500 0.500
Te2 0.500 0.000 0.500
Te3 0.500 0.500 0.000
I1 0.500 0.500 0.500
```


First-principles (GGA-PBE) data for crystalline SmAg5Pd6 at its relaxed geometry, as listed in Alexandria.

Results
Fermi-level density of states, states/eV per atom: 0.41
Calculated formation energy, eV per atom: -0.2479
Spin magnetization, μB/f.u.: 0.000
ρ, g cm⁻³: 10.571
Crystal system: orthorhombic

Cell and atoms, written as CIF:
```
data_SmAg5Pd6
_cell_length_a 7.695
_cell_length_b 7.695
_cell_length_c 7.695
_cell_angle_alpha 147.87
_cell_angle_beta 119.14
_cell_angle_gamma 70.50
_space_group_name_H-M_alt 'P 1'
_space_group_IT_number 1
loop_
_space_group_symop_operation_xyz
'x,y,z'
loop_
_atom_site_label
_atom_site_fract_x
_atom_site_fract_y
_atom_site_fract_z
Sm1 0.000 0.000 0.000
Ag1 0.173 0.673 0.500
Ag2 0.333 0.333 0.000
Ag3 0.500 0.000 0.500
Ag4 0.667 0.667 0.000
Ag5 0.827 0.327 0.500
Pd1 0.083 0.832 0.251
Pd2 0.255 0.500 0.755
Pd3 0.419 0.168 0.251
Pd4 0.581 0.832 0.749
Pd5 0.745 0.500 0.245
Pd6 0.917 0.168 0.749
```


First-principles (GGA-PBE) data for crystalline CsK2H6 at its relaxed geometry, as listed in Alexandria.

Results
Fermi-level density of states, states/eV per atom: 0.46
E, eV/atom: -2.003
Spin magnetization, μB/f.u.: 0.000
ρ, g cm⁻³: 2.586
Crystal system: cubic

Cell and atoms, written as CIF:
```
data_CsK2H6
_cell_length_a 5.821
_cell_length_b 5.821
_cell_length_c 5.821
_cell_angle_alpha 60.00
_cell_angle_beta 60.00
_cell_angle_gamma 60.00
_space_group_name_H-M_alt 'P 1'
_space_group_IT_number 1
loop_
_space_group_symop_operation_xyz
'x,y,z'
loop_
_atom_site_label
_atom_site_fract_x
_atom_site_fract_y
_atom_site_fract_z
Cs1 0.000 0.000 0.000
K1 0.250 0.250 0.250
K2 0.750 0.750 0.750
H1 0.364 0.364 0.636
H2 0.364 0.636 0.364
H3 0.364 0.636 0.636
H4 0.636 0.364 0.364
H5 0.636 0.364 0.636
H6 0.636 0.636 0.364
```


First-principles (GGA-PBE) data for crystalline Ho2Tm3Mg8 at its relaxed geometry, as listed in Alexandria.

Results
Fermi-level density of states, states/eV per atom: 1.06
Calculated formation energy, eV per atom: 0.1362
Spin magnetization, μB/f.u.: 0.000
ρ, g cm⁻³: 4.773
Crystal system: trigonal

Cell and atoms, written as CIF:
```
data_Ho2Tm3Mg8
_cell_length_a 12.667
_cell_length_b 12.667
_cell_length_c 12.667
_cell_angle_alpha 26.58
_cell_angle_beta 26.58
_cell_angle_gamma 26.58
_space_group_name_H-M_alt 'P 1'
_space_group_IT_number 1
loop_
_space_group_symop_operation_xyz
'x,y,z'
loop_
_atom_site_label
_atom_site_fract_x
_atom_site_fract_y
_atom_site_fract_z
Ho1 0.140 0.140 0.140
Ho2 0.860 0.860 0.860
Tm1 0.317 0.317 0.317
Tm2 0.500 0.500 0.500
Tm3 0.683 0.683 0.683
Mg1 0.225 0.225 0.225
Mg2 0.229 0.229 0.729
Mg3 0.229 0.729 0.229
Mg4 0.271 0.771 0.771
Mg5 0.729 0.229 0.229
Mg6 0.771 0.271 0.771
Mg7 0.771 0.771 0.271
Mg8 0.775 0.775 0.775
```